VASP calculation (PBE) on crystalline HfS at its relaxed geometry.

Structure (CIF):
```
data_HfS
_chemical_formula_sum 'Hf6 S6'
_cell_length_a 6.944
_cell_length_b 6.944
_cell_length_c 6.944
_cell_angle_alpha 90.00
_cell_angle_beta 90.00
_cell_angle_gamma 90.00
_symmetry_space_group_name_H-M 'P m -3 n'
_symmetry_Int_Tables_number 223
_symmetry_space_group_name_Hall '-P 4n 2 3'
loop_
_atom_site_label
_atom_site_fract_x
_atom_site_fract_y
_atom_site_fract_z
_atom_site_occupancy
Hf1 0.000 0.250 0.500 1
S1 0.000 0.500 0.250 1
```

DFT total energy   -7.62 eV/atom
Uncorrected formation energy   -0.58 eV/atom
Density of states at the Fermi level   1.4896 states/eV per atom